Here is an optimized crystal structure of SrLa2Pt from Alexandria via LeMat-Bulk. Energies are from PBE.

a b c (Å): 6.4796 6.4796 6.4796
angles (deg): 138.80 138.80 59.68
Last column: nearest neighbours and their distance in Å.
Sites, in units of the cell vectors:
La  0.0000  0.0000  0.0000  4 La 3.22
La  0.5000  0.5000  0.0000  4 La 3.22
Pt  0.2500  0.7500  0.5000  4 Sr 3.22
Sr  0.7500  0.2500  0.5000  4 Pt 3.22

For the size of the total moment, the calculation gives 0.01 Bohr magnetons per cell. For the total DFT energy (no corrections), the calculation gives -4.563 eV per atom. The value obtained for the distance to the lowest polymorph of the same formula is 405 meV/atom. The space group is I4/mmm. The formation enthalpy at 0 K comes out at -16.24 kJ per mole of atoms.